Here is a relaxed NiSe2Cl crystal from the Alexandria database. Energies are from PBE.

The space group is Cmm2 (No. 35) and the conventional cell measures 3.282, 5.772 and 9.201 Å, with angles of 90.00, 90.00 and 90.00 degrees. Symmetry generates all atoms from Ni at (0.000, 0.000, 0.000), Se at (0.000, 0.000, 0.560), Se at (0.000, 0.500, 0.832) and Cl at (0.000, 0.500, 0.168).

As for the formation energy from raw total energies: 48 kJ/mol of formula units. Its total energy is -28.2 eV per cell. The crystal system is orthorhombic. The calculation puts the energy relative to the lowest polymorph listed for this composition at 437 meV/atom.



Here is a relaxed NiSe2Cl crystal from the Alexandria database. Energies are from PBE.

The space group is I-42d (No. 122) and the conventional cell measures 6.351, 6.351 and 9.508 Å, with angles of 90.00, 90.00 and 90.00 degrees. Symmetry generates all atoms from Ni at (0.000, 0.000, 0.000), Se at (0.166, 0.250, 0.125) and Cl at (0.000, 0.000, 0.500).

As for the formation energy from raw total energies: 30 kJ/mol of formula units. Its total energy is -57.2 eV per cell. The crystal system is tetragonal. The calculation puts the energy relative to the lowest polymorph listed for this composition at 389 meV/atom.



Here is a relaxed NiSe2Cl crystal from the Alexandria database. Energies are from PBE.

The space group is P4/mmm (No. 123) and the conventional cell measures 3.621, 3.621 and 7.231 Å, with angles of 90.00, 90.00 and 90.00 degrees. Symmetry generates all atoms from Ni at (0.000, 0.000, 0.000), Se at (0.000, 0.500, 0.500) and Cl at (0.500, 0.500, 0.000).

As for the formation energy from raw total energies: 109 kJ/mol of formula units. Its total energy is -13.5 eV per cell. The crystal system is tetragonal. The calculation puts the energy relative to the lowest polymorph listed for this composition at 594 meV/atom.



Here is a relaxed Ni2SeCl crystal from the Alexandria database. Energies are from PBE.

The space group is C2/m (No. 12) and the conventional cell measures 5.944, 3.442 and 6.381 Å, with angles of 90.00, 107.95 and 90.00 degrees. Symmetry generates all atoms from Ni at (0.241, 0.000, 0.225), Se at (0.000, 0.500, 0.000) and Cl at (0.000, 0.000, 0.500).

As for the formation energy from raw total energies: -38 kJ/mol of formula units. Its total energy is -34.6 eV per cell. The crystal system is monoclinic. The calculation puts the energy relative to the lowest polymorph listed for this composition at 41 meV/atom.



Q: What is the energy relative to the lowest polymorph listed for this composition in the fourth record?
A: 41 meV/atom